Here is a relaxed structure of K2FeH2OF5 from Alexandria via LeMat-Bulk. Energies are from GGA+U.

abc: 9.9418 8.0282 7.9390
angles: 90.00 96.91 90.00
Last column: nearest neighbours and their distance in Å.
Space group C2/c (No. 15)
Asymmetric unit:
K (0.2024, 0.0013, 0.0385)  7 F 2.71-2.90
Fe (0.0000, 0.2983, 0.2500)  5 F 1.94-1.97, 1 O 2.06
H (0.0280, 0.3764, 0.6546)  1 O 1.00
O (0.0000, 0.4448, 0.7500)  2 H 1.00
F (0.0000, 0.0552, 0.2500)  1 Fe 1.95
F (0.0768, 0.2971, 0.4909)  1 H 1.58
F (0.1822, 0.3053, 0.1855)  1 Fe 1.94

* total DFT energy (no corrections): -215.72 eV for the cell shown
* volume: 629.1 Å³/cell